! AlNiNO2 GGA+U optimized geometry; values from VASP
&SYSTEM
  ibrav = 0, nat = 5, ntyp = 4
/
ATOMIC_SPECIES
Al 26.98 Al.upf
Ni 58.69 Ni.upf
N 14.01 N.upf
O 16.00 O.upf
ATOMIC_POSITIONS angstrom
Al 0.000 0.000 0.000
Ni 1.825 1.825 1.938
N 0.000 0.000 1.938
O 0.000 1.825 0.000
O 1.825 0.000 0.000
CELL_PARAMETERS angstrom
3.651 0.000 0.000
0.000 3.651 0.000
0.000 0.000 3.876
! - VASP energy (eV for the cell shown) = -26.354
! - spin magnetization (μB/cell) = 3.73
! - mass density (Mg/m³) = 4.2